Record 1
An optimized crystal structure of Be3GaRe. Source: the Alexandria database, functional PBE.

a = 4.0239 Å, b = 4.0239 Å, c = 4.0239 Å
α = 90.00°, β = 90.00°, γ = 90.00°
Last column: nearest neighbours and their distance in Å.
Atoms (fractional coordinates):
Be: 0.0000 0.0000 0.5000  2 Ga 2.01
Be: 0.0000 0.5000 0.0000  2 Ga 2.01
Be: 0.5000 0.0000 0.0000  2 Ga 2.01
Ga: 0.0000 0.0000 0.0000  6 Be 2.01
Re: 0.5000 0.5000 0.5000  12 Be 2.85

Output
- Total energy: -4.0229 eV/atom
- Formation enthalpy at 0 K: 1308 meV/atom
- N(E_F): 2.3 states/eV/cell
- Magnetic moment: 1.674 μB per formula unit

Record 2
An optimized crystal structure of CaSiCl6. Source: the Alexandria database, functional PBE.

a = 6.9322 Å, b = 6.9322 Å, c = 6.2551 Å
α = 97.04°, β = 97.04°, γ = 125.80°
Last column: nearest neighbours and their distance in Å.
Atoms (fractional coordinates):
Ca: 0.0000 0.0000 0.0000  6 Cl 2.75-2.77
Si: 0.5000 0.5000 0.5000  6 Cl 2.24
Cl: 0.1674 0.4274 0.2917  1 Si 2.24
Cl: 0.2736 0.2736 0.7207  1 Si 2.24
Cl: 0.4274 0.1674 0.2917  1 Si 2.24
Cl: 0.5726 0.8326 0.7083  1 Si 2.24
Cl: 0.7264 0.7264 0.2793  1 Si 2.24
Cl: 0.8326 0.5726 0.7083  1 Si 2.24

Output
- Total energy: -3.7586 eV/atom
- N(E_F): 0.0 states/eV/cell
- Uncorrected formation energy: -1446 meV/atom
- Magnetic moment: 0.000 μB per formula unit

Record 3
An optimized crystal structure of CeAlFe. Source: the Alexandria database, functional PBE.

a = 3.9225 Å, b = 4.3457 Å, c = 6.9120 Å
α = 80.37°, β = 86.55°, γ = 71.95°
Last column: nearest neighbours and their distance in Å.
Atoms (fractional coordinates):
Ce: 0.2012 0.2604 0.3572  1 Fe 2.12
Ce: 0.7988 0.7396 0.6428  1 Fe 2.12
Al: 0.4057 0.2939 0.9002  5 Fe 2.55-2.70, 2 Al 2.60-2.73
Al: 0.5943 0.7061 0.0998  5 Fe 2.55-2.70, 2 Al 2.60-2.73
Fe: 0.0623 0.9054 0.8449  1 Ce 2.12
Fe: 0.9377 0.0946 0.1551  1 Ce 2.12

Output
- Total energy: -6.2769 eV/atom
- Formation enthalpy at 0 K: -230 meV/atom
- N(E_F): 6.0 states/eV/cell
- Magnetic moment: 0.000 μB per formula unit

Record 4
An optimized crystal structure of ReIrC3. Source: the Alexandria database, functional PBE.

a = 3.9253 Å, b = 3.9253 Å, c = 3.9253 Å
α = 90.00°, β = 90.00°, γ = 90.00°
Last column: nearest neighbours and their distance in Å.
Atoms (fractional coordinates):
Re: 0.0000 0.0000 0.0000  12 C 2.78
Ir: 0.5000 0.5000 0.5000  6 C 1.96
C: 0.0000 0.5000 0.5000  2 Ir 1.96
C: 0.5000 0.0000 0.5000  2 Ir 1.96
C: 0.5000 0.5000 0.0000  2 Ir 1.96

Output
- Total energy: -7.0810 eV/atom
- Formation enthalpy at 0 K: 2715 meV/atom
- N(E_F): 6.6 states/eV/cell
- Magnetic moment: 0.000 μB per formula unit

Record 5
An optimized crystal structure of SrCrIr2. Source: the Alexandria database, functional PBE.

a = 5.0150 Å, b = 5.0150 Å, c = 2.9634 Å
α = 90.00°, β = 90.00°, γ = 105.65°
Last column: nearest neighbours and their distance in Å.
Atoms (fractional coordinates):
Sr: 0.0000 0.0000 0.0000  8 Ir 2.91, 2 Sr 2.96, 2 Cr 3.03
Cr: 0.5000 0.5000 0.0000  8 Ir 2.91, 2 Cr 2.96, 2 Sr 3.03
Ir: 0.0000 0.5000 0.5000  4 Cr 2.91, 4 Sr 2.91, 4 Ir 2.96-3.03
Ir: 0.5000 0.0000 0.5000  4 Cr 2.91, 4 Sr 2.91, 4 Ir 2.96-3.03

Output
- Total energy: -6.7954 eV/atom
- Formation enthalpy at 0 K: 461 meV/atom
- N(E_F): 3.6 states/eV/cell
- Magnetic moment: 3.178 μB per formula unit

Record 6
An optimized crystal structure of LaZrNi2. Source: the Alexandria database, functional PBE.

a = 5.5533 Å, b = 5.5533 Å, c = 5.5533 Å
α = 138.29°, β = 138.29°, γ = 60.46°
Last column: nearest neighbours and their distance in Å.
Atoms (fractional coordinates):
La: 0.0000 0.0000 0.0000  8 Ni 2.80-3.11, 4 Zr 3.11
Zr: 0.7500 0.2500 0.5000  8 Ni 2.80-3.11, 4 La 3.11
Ni: 0.2500 0.7500 0.5000  4 Zr 2.80, 4 Ni 3.11, 4 La 3.11
Ni: 0.5000 0.5000 0.0000  4 La 2.80, 4 Zr 3.11, 4 Ni 3.11

Output
- Total energy: -6.2579 eV/atom
- Formation enthalpy at 0 K: 2 meV/atom
- N(E_F): 4.5 states/eV/cell
- Magnetic moment: 0.000 μB per formula unit

Record 7
An optimized crystal structure of Th2AgPb. Source: the Alexandria database, functional PBE.

a = 6.4647 Å, b = 4.4396 Å, c = 8.7159 Å
α = 90.00°, β = 110.16°, γ = 90.00°
Last column: nearest neighbours and their distance in Å.
Atoms (fractional coordinates):
Th: 0.1941 0.2500 0.4385  3 Ag 3.15-3.33, 2 Pb 3.33
Th: 0.2076 0.2500 0.9059  2 Ag 3.14, 4 Pb 3.27-3.44
Th: 0.7924 0.7500 0.0941  2 Ag 3.14, 4 Pb 3.27-3.44
Th: 0.8059 0.7500 0.5615  3 Ag 3.15-3.33, 2 Pb 3.33
Ag: 0.3540 0.7500 0.7101  2 Pb 2.93, 4 Th 3.14-3.15
Ag: 0.6460 0.2500 0.2899  2 Pb 2.93, 4 Th 3.14-3.15
Pb: 0.3306 0.7500 0.2056  2 Ag 2.93, 1 Th 3.27
Pb: 0.6694 0.2500 0.7944  2 Ag 2.93, 1 Th 3.27

Output
- Total energy: -5.4935 eV/atom
- Formation enthalpy at 0 K: -144 meV/atom
- N(E_F): 8.8 states/eV/cell
- Magnetic moment: 0.000 μB per formula unit

Record 8
An optimized crystal structure of NbNi12Ge3. Source: the Alexandria database, functional PBE.

a = 3.6101 Å, b = 3.6101 Å, c = 14.3700 Å
α = 90.00°, β = 90.00°, γ = 90.00°
Last column: nearest neighbours and their distance in Å.
Atoms (fractional coordinates):
Nb: 0.0000 0.0000 0.0000  12 Ni 2.55-2.58
Ni: 0.0000 0.5000 0.1285  8 Ni 2.54-2.58, 2 Ge 2.57, 2 Nb 2.58
Ni: 0.0000 0.5000 0.3764  4 Ge 2.50-2.53, 8 Ni 2.53-2.55
Ni: 0.0000 0.5000 0.6236  4 Ge 2.50-2.53, 8 Ni 2.53-2.55
Ni: 0.0000 0.5000 0.8715  8 Ni 2.54-2.58, 2 Ge 2.57, 2 Nb 2.58
Ni: 0.5000 0.0000 0.1285  8 Ni 2.54-2.58, 2 Ge 2.57, 2 Nb 2.58
Ni: 0.5000 0.0000 0.3764  4 Ge 2.50-2.53, 8 Ni 2.53-2.55
Ni: 0.5000 0.0000 0.6236  4 Ge 2.50-2.53, 8 Ni 2.53-2.55
Ni: 0.5000 0.0000 0.8715  8 Ni 2.54-2.58, 2 Ge 2.57, 2 Nb 2.58
Ni: 0.5000 0.5000 0.0000  4 Nb 2.55, 8 Ni 2.58
Ni: 0.5000 0.5000 0.2524  8 Ni 2.54, 4 Ge 2.55
Ni: 0.5000 0.5000 0.5000  8 Ni 2.53, 4 Ge 2.55
Ni: 0.5000 0.5000 0.7476  8 Ni 2.54, 4 Ge 2.55
Ge: 0.0000 0.0000 0.2561  12 Ni 2.50-2.57
Ge: 0.0000 0.0000 0.5000  12 Ni 2.53-2.55
Ge: 0.0000 0.0000 0.7439  12 Ni 2.50-2.57

Output
- Total energy: -6.1167 eV/atom
- Formation enthalpy at 0 K: -286 meV/atom
- N(E_F): 3.8 states/eV/cell
- Magnetic moment: 0.000 μB per formula unit